# TaHgC2

A relaxed TaHgC2 crystal (PBE-GGA, the Alexandria database).

Summary:
Symmetry: I-42d, No. 122

a b c (Å): 5.149 5.149 6.060
angles (deg): 64.86 64.86 90.00
Sites, in units of the cell vectors:
C (0.579, 0.125, 0.250)
C (0.171, 0.625, 0.250)
C (0.375, 0.421, 0.750)
C (0.875, 0.829, 0.750)
Hg (0.750, 0.250, 0.500)
Hg (0.000, 0.000, 0.000)
Ta (0.500, 0.500, 0.000)
Ta (0.250, 0.750, 0.500)



# Ta2HgC

A relaxed Ta2HgC crystal (PBE-GGA, the Alexandria database).

Summary:
Symmetry: R-3m, No. 166

a b c (Å): 3.180 3.180 7.411
angles (deg): 77.61 77.61 60.00
Sites, in units of the cell vectors:
C (0.000, 0.000, 0.000)
Ta (0.721, 0.721, 0.836)
Ta (0.279, 0.279, 0.164)
Hg (0.500, 0.500, 0.500)



# Ta2TcHgC

A relaxed Ta2TcHgC crystal (PBE-GGA, the Alexandria database).

Summary:
Symmetry: P4/mmm, No. 123

a b c (Å): 4.336 4.125 4.336
angles (deg): 90.00 90.00 90.00
Sites, in units of the cell vectors:
C (0.000, 0.000, 0.000)
Hg (0.500, 0.500, 0.500)
Tc (0.000, 0.500, 0.000)
Ta (0.000, 0.000, 0.500)
Ta (0.500, 0.000, 0.000)



# TaVHgC2

A relaxed TaVHgC2 crystal (PBE-GGA, the Alexandria database).

Summary:
Symmetry: P4/mmm, No. 123

a b c (Å): 4.170 5.152 4.170
angles (deg): 90.00 90.00 90.00
Sites, in units of the cell vectors:
V (0.000, 0.500, 0.000)
Hg (0.500, 0.500, 0.500)
C (0.500, 0.000, 0.000)
C (0.000, 0.000, 0.500)
Ta (0.000, 0.000, 0.000)



# YTaHgC2

A relaxed YTaHgC2 crystal (PBE-GGA, the Alexandria database).

Summary:
Symmetry: P4/mmm, No. 123

a b c (Å): 4.401 5.265 4.401
angles (deg): 90.00 90.00 90.00
Sites, in units of the cell vectors:
C (0.000, 0.000, 0.500)
C (0.500, 0.000, 0.000)
Ta (0.000, 0.500, 0.000)
Y (0.500, 0.500, 0.500)
Hg (0.000, 0.000, 0.000)



# Zr2TaHgC

A relaxed Zr2TaHgC crystal (PBE-GGA, the Alexandria database).

Summary:
Symmetry: P4/mmm, No. 123

a b c (Å): 4.613 4.613 4.257
angles (deg): 90.00 90.00 90.00
Sites, in units of the cell vectors:
Zr (0.500, 0.000, 0.000)
Zr (0.000, 0.500, 0.000)
Hg (0.500, 0.500, 0.500)
Ta (0.000, 0.000, 0.500)
C (0.000, 0.000, 0.000)



no.,Fermi-level density of states (states/eV/atom),formation enthalpy at 0 K (meV per atom),total moment (μB per cell)
1,0.45,946.7,0.00
2,0.39,-312.8,0.00
3,0.90,73.6,0.00
4,1.15,1777.4,0.02
5,0.97,2607.0,0.00
6,0.66,-335.6,0.00